# 1
{"formula": "VCuSb2", "functional": "PBE-GGA", "state": "optimized geometry", "density_g_cm3": 5.531, "crystal_system": "tetragonal", "e_form_raw_ev_per_atom": 0.4989, "cell": [[-1.352, 3.299, 4.874], [-5.789, 0.161, -1.714], [-4.610, -3.204, 4.632]], "species": ["V", "V", "Sb", "Sb", "Sb", "Sb", "Cu", "Cu"], "fractional_positions": [[0.250, 0.750, 0.500], [0.500, 0.500, 0.000], [0.875, 0.876, 0.750], [0.626, 0.125, 0.250], [0.375, 0.374, 0.750], [0.124, 0.625, 0.250], [0.750, 0.250, 0.500], [0.000, 0.000, 0.000]]}

***

# 2
{"formula": "V2ZnCuSb", "functional": "PBE-GGA", "state": "optimized geometry", "density_g_cm3": 4.663, "crystal_system": "tetragonal", "e_form_raw_ev_per_atom": 1.1401, "cell": [[5.141, 0.000, 0.000], [0.000, 4.751, 0.000], [0.000, 0.000, 5.141]], "species": ["Sb", "V", "V", "Zn", "Cu"], "fractional_positions": [[0.000, 0.000, 0.000], [0.000, 0.000, 0.500], [0.500, 0.000, 0.000], [0.500, 0.500, 0.500], [0.000, 0.500, 0.000]]}

***

# 3
{"formula": "CuSb2W", "functional": "PBE-GGA", "state": "optimized geometry", "density_g_cm3": 10.392, "crystal_system": "trigonal", "e_form_raw_ev_per_atom": 0.3839, "cell": [[8.262, -0.005, -0.003], [7.581, 3.283, -0.003], [7.581, 1.569, 2.884]], "species": ["W", "Sb", "Sb", "Cu"], "fractional_positions": [[0.750, 0.750, 0.750], [0.500, 0.500, 0.500], [0.000, 0.000, 0.000], [0.250, 0.250, 0.250]]}

***

# 4
{"formula": "CuSbW3", "functional": "PBE-GGA", "state": "optimized geometry", "density_g_cm3": 12.858, "crystal_system": "cubic", "e_form_raw_ev_per_atom": 1.7810, "cell": [[4.565, 0.000, 0.000], [0.000, 4.565, 0.000], [0.000, 0.000, 4.565]], "species": ["W", "W", "W", "Cu", "Sb"], "fractional_positions": [[0.500, 0.000, 0.000], [0.000, 0.000, 0.500], [0.000, 0.500, 0.000], [0.000, 0.000, 0.000], [0.500, 0.500, 0.500]]}

***

# 5
{"formula": "CuSb4W", "functional": "PBE-GGA", "state": "optimized geometry", "density_g_cm3": 7.793, "crystal_system": "cubic", "e_form_raw_ev_per_atom": 1.3150, "cell": [[-0.176, -5.570, -2.353], [0.203, -4.828, 3.638], [-4.920, -3.440, 0.738]], "species": ["Sb", "Sb", "Sb", "Sb", "Cu", "W"], "fractional_positions": [[0.374, 0.374, 0.877], [0.374, 0.374, 0.374], [0.374, 0.877, 0.374], [0.877, 0.374, 0.374], [0.000, 0.000, 0.000], [0.750, 0.750, 0.750]]}

***

# 6
{"formula": "CuSb2W", "functional": "PBE-GGA", "state": "optimized geometry", "density_g_cm3": 10.677, "crystal_system": "cubic", "e_form_raw_ev_per_atom": 0.6573, "cell": [[0.000, 3.367, 3.367], [3.367, 0.000, 3.367], [3.367, 3.367, 0.000]], "species": ["Cu", "W", "Sb", "Sb"], "fractional_positions": [[0.000, 0.000, 0.000], [0.500, 0.500, 0.500], [0.750, 0.750, 0.750], [0.250, 0.250, 0.250]]}

***

# 7
{"formula": "CuSb2W", "functional": "PBE-GGA", "state": "optimized geometry", "density_g_cm3": 10.758, "crystal_system": "tetragonal", "e_form_raw_ev_per_atom": 0.6227, "cell": [[-3.370, 2.161, 2.847], [-4.057, -1.329, -2.430], [3.517, -3.053, 1.561]], "species": ["Sb", "Sb", "W", "Cu"], "fractional_positions": [[0.500, 0.500, 0.000], [0.000, 0.000, 0.000], [0.250, 0.750, 0.500], [0.750, 0.250, 0.500]]}

***

# 8
{"formula": "CuSbW", "functional": "PBE-GGA", "state": "optimized geometry", "density_g_cm3": 9.953, "crystal_system": "cubic", "e_form_raw_ev_per_atom": 0.8116, "cell": [[4.433, 0.000, 0.000], [2.216, 3.839, 0.000], [2.216, 1.280, 3.619]], "species": ["W", "Sb", "Cu"], "fractional_positions": [[0.750, 0.750, 0.750], [0.500, 0.500, 0.500], [0.000, 0.000, 0.000]]}

***

# 9
{"formula": "CuSbW", "functional": "PBE-GGA", "state": "optimized geometry", "density_g_cm3": 10.018, "crystal_system": "orthorhombic", "e_form_raw_ev_per_atom": 0.6923, "cell": [[-2.583, -1.724, -6.883], [0.273, -2.382, -7.055], [-1.122, -2.689, 0.360]], "species": ["Sb", "Cu", "W"], "fractional_positions": [[0.695, 0.695, 0.305], [0.961, 0.961, 0.039], [0.344, 0.344, 0.656]]}

***

# 10
{"formula": "CuSb2W", "functional": "PBE-GGA", "state": "optimized geometry", "density_g_cm3": 9.603, "crystal_system": "orthorhombic", "e_form_raw_ev_per_atom": 0.4603, "cell": [[-2.424, 1.959, 0.076], [0.229, -0.680, 3.034], [5.547, 6.822, 1.110]], "species": ["Cu", "W", "Sb", "Sb"], "fractional_positions": [[0.500, 0.500, 0.720], [0.000, 0.000, 0.545], [0.000, 0.000, 0.919], [0.500, 0.500, 0.316]]}

***

# 11
{"formula": "CuSbW", "functional": "PBE-GGA", "state": "optimized geometry", "density_g_cm3": 12.207, "crystal_system": "tetragonal", "e_form_raw_ev_per_atom": 0.5509, "cell": [[5.037, -0.011, 0.000], [2.800, 4.186, 0.000], [-3.918, -2.088, 2.378]], "species": ["Sb", "Cu", "W"], "fractional_positions": [[0.336, 0.336, 0.000], [0.002, 0.002, 0.000], [0.662, 0.662, 0.000]]}

***

# 12
{"formula": "CuSb2W", "functional": "PBE-GGA", "state": "optimized geometry", "density_g_cm3": 9.281, "crystal_system": "orthorhombic", "e_form_raw_ev_per_atom": 0.3957, "cell": [[-0.456, 2.728, -0.948], [-0.420, -1.282, -3.489], [-7.882, -0.876, 1.271]], "species": ["W", "Cu", "Sb", "Sb"], "fractional_positions": [[0.000, 0.000, 0.550], [0.500, 0.500, 0.718], [0.000, 0.000, 0.901], [0.500, 0.500, 0.331]]}